Material: S2ClOF
Method: DFT, PBE-GGA
State: relaxed

Geometry as extended XYZ:
```
5
Lattice="-1.979 -1.857 -3.037 3.333 0.253 -2.327 1.879 -5.437 2.100" Properties=species:S:1:pos:R:3 pbc="T T T"
S 1.666 0.127 -1.163
S -0.990 -0.928 -1.518
O 1.616 -3.520 -1.632
Cl 0.939 -2.718 1.050
F 0.000 0.000 0.000
```

density of states at the Fermi level: 1.426 states/eV/atom
ΔE_f (raw): 1.39 eV/atom
total magnetic moment: 1.1 μB/f.u.
energy relative to the lowest polymorph listed for this composition: 315.0 kJ/mol of formula units
theoretical density: 2.2 g/cm³